Record 1
Here is CaHoAlAg after structural relaxation from Alexandria. Energies are from PBE.

a b c (Å): 7.317 7.317 7.317
angles (deg): 90.00 90.00 90.00
Space group F-43m (No. 216)
Inequivalent atoms, fractional coordinates:
Ca 0.000 0.000 0.000 [4 per cell]
Ho 0.000 0.000 0.500 [4 per cell]
Al 0.250 0.250 0.250 [4 per cell]
Ag 0.250 0.250 0.750 [4 per cell]

Properties
As for the formation energy: -6.62 kcal/mol of atoms. The final energy comes out at -3.5803 eV per atom. For the density, the calculation gives 5.76 g/cm³. The density of states at the Fermi level is 13.2 states/eV per cell.



Record 2
Here is CaAl2InAg4 after structural relaxation from Alexandria. Energies are from PBE.

a b c (Å): 4.5608 4.5608 27.7281
angles (deg): 90.00 90.00 120.00
Space group R-3m (No. 166, hexagonal axes)
Inequivalent atoms, fractional coordinates:
Ca 0.0000 0.0000 0.0000 [3 per cell]
Al 0.0000 0.0000 0.2534 [6 per cell]
In 0.0000 0.0000 0.5000 [3 per cell]
Ag 0.0000 0.0000 0.1174 [6 per cell]
Ag 0.0000 0.0000 0.3972 [6 per cell]

Properties
As for the formation energy: -2.20 kcal/mol of atoms. The final energy comes out at -3.0491 eV per atom. For the density, the calculation gives 6.39 g/cm³. The density of states at the Fermi level is 10.7 states/eV per cell.



Record 3
Here is Ca2Al4InAg3 after structural relaxation from Alexandria. Energies are from PBE.

a b c (Å): 4.341 4.341 11.501
angles (deg): 90.00 90.00 90.00
Space group P-4m2 (No. 115)
Inequivalent atoms, fractional coordinates:
Ca 0.000 0.500 0.242 [2 per cell]
Al 0.000 0.000 0.000 [1 per cell]
Al 0.000 0.500 0.647 [2 per cell]
Al 0.500 0.500 0.000 [1 per cell]
In 0.000 0.000 0.500 [1 per cell]
Ag 0.000 0.500 0.868 [2 per cell]
Ag 0.500 0.500 0.500 [1 per cell]

Properties
As for the formation energy: -5.52 kcal/mol of atoms. The final energy comes out at -3.2658 eV per atom. For the density, the calculation gives 4.80 g/cm³. The density of states at the Fermi level is 4.8 states/eV per cell.



Record 4
Here is CaAlInAg2 after structural relaxation from Alexandria. Energies are from PBE.

a b c (Å): 6.471 6.471 6.998
angles (deg): 90.00 90.00 90.00
Space group P4/mmm (No. 123)
Inequivalent atoms, fractional coordinates:
Ca 0.000 0.000 0.000 [1 per cell]
Al 0.500 0.500 0.500 [1 per cell]
In 0.500 0.500 0.000 [1 per cell]
Ag 0.000 0.500 0.500 [2 per cell]

Properties
As for the formation energy: 25.21 kcal/mol of atoms. The final energy comes out at -1.7440 eV per atom. For the density, the calculation gives 2.25 g/cm³. The density of states at the Fermi level is 4.8 states/eV per cell.



Record 5
Here is KCa2AlAg after structural relaxation from Alexandria. Energies are from PBE.

a b c (Å): 6.003 6.003 5.084
angles (deg): 90.00 90.00 90.00
Space group P4/mmm (No. 123)
Inequivalent atoms, fractional coordinates:
K 0.000 0.000 0.000 [1 per cell]
Ca 0.000 0.500 0.500 [2 per cell]
Al 0.500 0.500 0.500 [1 per cell]
Ag 0.500 0.500 0.000 [1 per cell]

Properties
As for the formation energy: 2.99 kcal/mol of atoms. The final energy comes out at -2.2092 eV per atom. For the density, the calculation gives 2.30 g/cm³. The density of states at the Fermi level is 5.0 states/eV per cell.



Record 6
Here is Li2CaAl2Ag2 after structural relaxation from Alexandria. Energies are from PBE.

a b c (Å): 7.875 4.586 7.955
angles (deg): 90.00 109.56 90.00
Space group C2/m (No. 12)
Inequivalent atoms, fractional coordinates:
Li 0.141 0.000 0.424 [4 per cell]
Ca 0.000 0.000 0.000 [2 per cell]
Al 0.063 0.500 0.691 [4 per cell]
Ag 0.246 0.500 0.235 [4 per cell]

Properties
As for the formation energy: -5.86 kcal/mol of atoms. The final energy comes out at -2.9709 eV per atom. For the density, the calculation gives 3.97 g/cm³. The density of states at the Fermi level is 2.9 states/eV per cell.



Record 7
Here is LiCa2AlAg6 after structural relaxation from Alexandria. Energies are from PBE.

a b c (Å): 6.602 6.685 6.953
angles (deg): 63.00 61.71 60.48
Space group P-1 (No. 2)
Inequivalent atoms, fractional coordinates:
Li 0.000 0.000 0.000 [1 per cell]
Ca 0.217 0.220 0.347 [2 per cell]
Al 0.500 0.500 0.500 [1 per cell]
Ag 0.241 0.662 0.847 [2 per cell]
Ag 0.256 0.234 0.826 [2 per cell]
Ag 0.317 0.759 0.172 [2 per cell]

Properties
As for the formation energy: -2.02 kcal/mol of atoms. The final energy comes out at -2.7643 eV per atom. For the density, the calculation gives 5.61 g/cm³. The density of states at the Fermi level is 3.1 states/eV per cell.



Record 8
Here is LiCaAl2Ag4 after structural relaxation from Alexandria. Energies are from PBE.

a b c (Å): 4.5668 4.5668 24.8864
angles (deg): 90.00 90.00 120.00
Space group R-3m (No. 166, hexagonal axes)
Inequivalent atoms, fractional coordinates:
Li 0.0000 0.0000 0.0000 [3 per cell]
Ca 0.0000 0.0000 0.5000 [3 per cell]
Al 0.0000 0.0000 0.2578 [6 per cell]
Ag 0.0000 0.0000 0.1018 [6 per cell]
Ag 0.0000 0.0000 0.3703 [6 per cell]

Properties
As for the formation energy: -5.38 kcal/mol of atoms. The final energy comes out at -3.0840 eV per atom. For the density, the calculation gives 5.90 g/cm³. The density of states at the Fermi level is 7.7 states/eV per cell.



Record 9
Here is Li5Ca2Al2Ag after structural relaxation from Alexandria. Energies are from PBE.

a b c (Å): 11.077 11.077 3.596
angles (deg): 90.00 90.00 90.00
Space group P4/mbm (No. 127)
Inequivalent atoms, fractional coordinates:
Li 0.000 0.500 0.000 [2 per cell]
Li 0.059 0.188 0.000 [8 per cell]
Ca 0.170 0.670 0.500 [4 per cell]
Al 0.126 0.374 0.500 [4 per cell]
Ag 0.000 0.000 0.500 [2 per cell]

Properties
As for the formation energy: -0.85 kcal/mol of atoms. The final energy comes out at -2.4277 eV per atom. For the density, the calculation gives 2.08 g/cm³. The density of states at the Fermi level is 8.2 states/eV per cell.



Record 10
Here is LiCa2Al2Ag5 after structural relaxation from Alexandria. Energies are from PBE.

a b c (Å): 10.470 10.470 3.793
angles (deg): 90.00 90.00 90.00
Space group P4/mbm (No. 127)
Inequivalent atoms, fractional coordinates:
Li 0.000 0.000 0.000 [2 per cell]
Ca 0.174 0.326 0.000 [4 per cell]
Al 0.127 0.627 0.000 [4 per cell]
Ag 0.000 0.500 0.500 [2 per cell]
Ag 0.059 0.802 0.500 [8 per cell]

Properties
As for the formation energy: -4.26 kcal/mol of atoms. The final energy comes out at -2.9504 eV per atom. For the density, the calculation gives 5.43 g/cm³. The density of states at the Fermi level is 9.9 states/eV per cell.



Record 11
Here is LiCaAlAg3 after structural relaxation from Alexandria. Energies are from PBE.

a b c (Å): 6.175 12.862 6.126
angles (deg): 90.00 90.00 90.00
Space group Cmcm (No. 63)
Inequivalent atoms, fractional coordinates:
Li 0.000 0.086 0.250 [4 per cell]
Ca 0.000 0.305 0.250 [4 per cell]
Al 0.000 0.361 0.750 [4 per cell]
Ag 0.000 0.153 0.750 [4 per cell]
Ag 0.227 0.500 0.000 [8 per cell]

Properties
As for the formation energy: -2.89 kcal/mol of atoms. The final energy comes out at -2.8271 eV per atom. For the density, the calculation gives 5.43 g/cm³. The density of states at the Fermi level is 9.3 states/eV per cell.



Record 12
Here is Ca2MgAl2Ag5 after structural relaxation from Alexandria. Energies are from PBE.

a b c (Å): 10.702 10.702 3.672
angles (deg): 90.00 90.00 90.00
Space group P4/mbm (No. 127)
Inequivalent atoms, fractional coordinates:
Ca 0.175 0.325 0.000 [4 per cell]
Mg 0.000 0.000 0.000 [2 per cell]
Al 0.124 0.624 0.000 [4 per cell]
Ag 0.000 0.500 0.500 [2 per cell]
Ag 0.059 0.800 0.500 [8 per cell]

Properties
As for the formation energy: -4.68 kcal/mol of atoms. The final energy comes out at -2.9368 eV per atom. For the density, the calculation gives 5.51 g/cm³. The density of states at the Fermi level is 8.5 states/eV per cell.



Record 13
Here is Ca2MgAl3Ag4 after structural relaxation from Alexandria. Energies are from PBE.

a b c (Å): 4.281 4.281 11.814
angles (deg): 90.00 90.00 90.00
Space group P-4m2 (No. 115)
Inequivalent atoms, fractional coordinates:
Ca 0.000 0.500 0.244 [2 per cell]
Mg 0.000 0.000 0.500 [1 per cell]
Al 0.000 0.500 0.866 [2 per cell]
Al 0.500 0.500 0.500 [1 per cell]
Ag 0.000 0.000 0.000 [1 per cell]
Ag 0.000 0.500 0.647 [2 per cell]
Ag 0.500 0.500 0.000 [1 per cell]

Properties
As for the formation energy: -5.41 kcal/mol of atoms. The final energy comes out at -3.0577 eV per atom. For the density, the calculation gives 4.73 g/cm³. The density of states at the Fermi level is 4.5 states/eV per cell.



Record 14
Here is CaMg2AlAg4 after structural relaxation from Alexandria. Energies are from PBE.

a b c (Å): 4.6763 4.6763 25.6388
angles (deg): 90.00 90.00 120.00
Space group R-3m (No. 166, hexagonal axes)
Inequivalent atoms, fractional coordinates:
Ca 0.0000 0.0000 0.0000 [3 per cell]
Mg 0.0000 0.0000 0.2441 [6 per cell]
Al 0.0000 0.0000 0.5000 [3 per cell]
Ag 0.0000 0.0000 0.1300 [6 per cell]
Ag 0.0000 0.0000 0.3961 [6 per cell]

Properties
As for the formation energy: -4.40 kcal/mol of atoms. The final energy comes out at -2.7329 eV per atom. For the density, the calculation gives 5.61 g/cm³. The density of states at the Fermi level is 7.8 states/eV per cell.



Record 15
Here is Ca2MgAl4Ag3 after structural relaxation from Alexandria. Energies are from PBE.

a b c (Å): 4.259 4.259 11.870
angles (deg): 90.00 90.00 90.00
Space group P-4m2 (No. 115)
Inequivalent atoms, fractional coordinates:
Ca 0.000 0.500 0.241 [2 per cell]
Mg 0.000 0.000 0.500 [1 per cell]
Al 0.000 0.000 0.000 [1 per cell]
Al 0.000 0.500 0.649 [2 per cell]
Al 0.500 0.500 0.000 [1 per cell]
Ag 0.000 0.500 0.865 [2 per cell]
Ag 0.500 0.500 0.500 [1 per cell]

Properties
As for the formation energy: -5.19 kcal/mol of atoms. The final energy comes out at -3.1371 eV per atom. For the density, the calculation gives 4.13 g/cm³. The density of states at the Fermi level is 3.5 states/eV per cell.



Record 16
Here is Ca2Mg2AlAg5 after structural relaxation from Alexandria. Energies are from PBE.

a b c (Å): 11.215 11.215 3.429
angles (deg): 90.00 90.00 90.00
Space group P4/mbm (No. 127)
Inequivalent atoms, fractional coordinates:
Ca 0.171 0.329 0.000 [4 per cell]
Mg 0.130 0.630 0.000 [4 per cell]
Al 0.000 0.000 0.000 [2 per cell]
Ag 0.000 0.500 0.500 [2 per cell]
Ag 0.054 0.817 0.500 [8 per cell]

Properties
As for the formation energy: -3.59 kcal/mol of atoms. The final energy comes out at -2.6749 eV per atom. For the density, the calculation gives 5.35 g/cm³. The density of states at the Fermi level is 7.2 states/eV per cell.



Record 17
Here is CaMgAlAg after structural relaxation from Alexandria. Energies are from PBE.

a b c (Å): 7.058 7.058 7.058
angles (deg): 90.00 90.00 90.00
Space group F-43m (No. 216)
Inequivalent atoms, fractional coordinates:
Ca 0.000 0.000 0.000 [4 per cell]
Mg 0.000 0.000 0.500 [4 per cell]
Al 0.250 0.250 0.750 [4 per cell]
Ag 0.250 0.250 0.250 [4 per cell]

Properties
As for the formation energy: -3.98 kcal/mol of atoms. The final energy comes out at -2.7201 eV per atom. For the density, the calculation gives 3.76 g/cm³. The density of states at the Fermi level is 7.1 states/eV per cell.



Record 18
Here is CaAlNi2Ag after structural relaxation from Alexandria. Energies are from PBE.

a b c (Å): 4.564 4.564 5.386
angles (deg): 90.00 90.00 90.00
Space group P4/mmm (No. 123)
Inequivalent atoms, fractional coordinates:
Ca 0.000 0.000 0.000 [1 per cell]
Al 0.000 0.000 0.500 [1 per cell]
Ni 0.000 0.500 0.000 [2 per cell]
Ag 0.500 0.500 0.500 [1 per cell]

Properties
As for the formation energy: 31.61 kcal/mol of atoms. The final energy comes out at -2.6608 eV per atom. For the density, the calculation gives 4.33 g/cm³. The density of states at the Fermi level is 3.5 states/eV per cell.



Record 19
Here is CaAl2NiAg after structural relaxation from Alexandria. Energies are from PBE.

a b c (Å): 4.757 4.757 4.955
angles (deg): 90.00 90.00 90.00
Space group P4/mmm (No. 123)
Inequivalent atoms, fractional coordinates:
Ca 0.000 0.000 0.000 [1 per cell]
Al 0.000 0.500 0.500 [2 per cell]
Ni 0.500 0.500 0.000 [1 per cell]
Ag 0.500 0.500 0.500 [1 per cell]

Properties
As for the formation energy: 7.39 kcal/mol of atoms. The final energy comes out at -3.3035 eV per atom. For the density, the calculation gives 3.86 g/cm³. The density of states at the Fermi level is 2.8 states/eV per cell.



Record 20
Here is CaAlAgPb after structural relaxation from Alexandria. Energies are from PBE.

a b c (Å): 7.226 7.226 7.226
angles (deg): 90.00 90.00 90.00
Space group F-43m (No. 216)
Inequivalent atoms, fractional coordinates:
Ca 0.000 0.000 0.000 [4 per cell]
Al 0.000 0.000 0.500 [4 per cell]
Ag 0.250 0.250 0.750 [4 per cell]
Pb 0.250 0.250 0.250 [4 per cell]

Properties
As for the formation energy: -2.85 kcal/mol of atoms. The final energy comes out at -3.1994 eV per atom. For the density, the calculation gives 6.73 g/cm³. The density of states at the Fermi level is 5.5 states/eV per cell.



Record 21
Here is CaAlAgPd after structural relaxation from Alexandria. Energies are from PBE.

a b c (Å): 6.729 6.729 6.729
angles (deg): 90.00 90.00 90.00
Space group F-43m (No. 216)
Inequivalent atoms, fractional coordinates:
Ca 0.000 0.000 0.000 [4 per cell]
Al 0.000 0.000 0.500 [4 per cell]
Ag 0.250 0.250 0.250 [4 per cell]
Pd 0.250 0.250 0.750 [4 per cell]

Properties
As for the formation energy: -9.73 kcal/mol of atoms. The final energy comes out at -3.8688 eV per atom. For the density, the calculation gives 6.13 g/cm³. The density of states at the Fermi level is 4.5 states/eV per cell.



Record 22
Here is Ca2AlAg2Pd5 after structural relaxation from Alexandria. Energies are from PBE.

a b c (Å): 10.059 10.059 3.739
angles (deg): 90.00 90.00 90.00
Space group P4/mbm (No. 127)
Inequivalent atoms, fractional coordinates:
Ca 0.167 0.333 0.000 [4 per cell]
Al 0.000 0.000 0.000 [2 per cell]
Ag 0.135 0.635 0.000 [4 per cell]
Pd 0.000 0.500 0.500 [2 per cell]
Pd 0.051 0.813 0.500 [8 per cell]

Properties
As for the formation energy: -10.95 kcal/mol of atoms. The final energy comes out at -4.4162 eV per atom. For the density, the calculation gives 7.51 g/cm³. The density of states at the Fermi level is 8.9 states/eV per cell.



Record 23
Here is CaAlAgPd2 after structural relaxation from Alexandria. Energies are from PBE.

a b c (Å): 5.092 5.092 4.614
angles (deg): 90.00 90.00 90.00
Space group P4/mmm (No. 123)
Inequivalent atoms, fractional coordinates:
Ca 0.000 0.000 0.000 [1 per cell]
Al 0.500 0.500 0.000 [1 per cell]
Ag 0.500 0.500 0.500 [1 per cell]
Pd 0.000 0.500 0.500 [2 per cell]

Properties
As for the formation energy: 3.90 kcal/mol of atoms. The final energy comes out at -3.6270 eV per atom. For the density, the calculation gives 5.38 g/cm³. The density of states at the Fermi level is 2.6 states/eV per cell.